No. 1
First-principles (PBE-GGA) data for a relaxed ZnCr2CdSb crystal, as listed in Alexandria via LeMat-Bulk.

Structure (extended XYZ):
```
5
Lattice="5.2410 0.0000 0.0000 0.0000 5.2410 0.0000 0.0000 0.0000 5.1571" Properties=species:S:1:pos:R:3 pbc="T T T"
Zn 0.0000 0.0000 0.0000
Cr 0.0000 2.6205 2.5785
Cr 2.6205 0.0000 2.5785
Cd 2.6205 2.6205 0.0000
Sb 0.0000 0.0000 2.5785
```

Output
total energy	-4.21	eV/atom
total moment	8.98	μB/cell



No. 2
First-principles (PBE-GGA) data for a relaxed ScCr2Cd crystal, as listed in Alexandria via LeMat-Bulk.

Structure (extended XYZ):
```
8
Lattice="-3.6985 3.6985 2.9317 3.6985 -3.6985 2.9317 3.6985 3.6985 -2.9317" Properties=species:S:1:pos:R:3 pbc="T T T"
Sc 0.0000 0.0000 0.0000
Sc 0.0000 3.6985 1.4659
Cr 1.8492 -1.8181 2.1988
Cr 1.8803 1.8492 0.7329
Cr 1.8492 5.5166 -0.7329
Cr 1.8181 1.8492 3.6647
Cd 3.6985 0.0000 1.4659
Cd 0.0000 0.0000 2.9317
```

Output
energy of formation	0.784	eV per atom
total energy	-5.84	eV/atom
total moment	14.32	μB/cell



No. 3
First-principles (PBE-GGA) data for a relaxed ScCrCd crystal, as listed in Alexandria via LeMat-Bulk.

Structure (extended XYZ):
```
3
Lattice="0.0000 3.2960 3.2960 3.2960 0.0000 3.2960 3.2960 3.2960 0.0000" Properties=species:S:1:pos:R:3 pbc="T T T"
Sc 0.0000 0.0000 0.0000
Cr 1.6480 1.6480 1.6480
Cd 4.9440 4.9440 4.9440
```

Output
energy of formation	0.745	eV per atom
total energy	-4.88	eV/atom
total moment	3.52	μB/cell



No. 4
First-principles (PBE-GGA) data for a relaxed Sc3CrCd crystal, as listed in Alexandria via LeMat-Bulk.

Structure (extended XYZ):
```
5
Lattice="5.2724 0.0000 0.0000 0.0000 5.2724 0.0000 0.0000 0.0000 5.2724" Properties=species:S:1:pos:R:3 pbc="T T T"
Sc 0.0000 0.0000 2.6362
Sc 0.0000 2.6362 0.0000
Sc 2.6362 0.0000 0.0000
Cr 2.6362 2.6362 2.6362
Cd 0.0000 0.0000 0.0000
```

Output
energy of formation	0.891	eV per atom
total energy	-5.02	eV/atom
total moment	5.93	μB/cell